1.
{"formula": "KHfSnCl2", "functional": "GGA-PBE", "state": "optimized geometry", "cell": [[-4.901, 1.067, 0.933], [-0.774, -5.332, 2.031], [1.240, 1.603, 4.682]], "species": ["K", "Hf", "Sn", "Cl", "Cl"], "frac_coords": [[0.500, 0.500, 0.500], [0.000, 0.000, 0.000], [0.000, 0.500, 0.000], [0.000, 0.000, 0.500], [0.500, 0.000, 0.000]], "dft_energy_ev_per_fu": -22.62, "formation_energy_uncorrected_ev_per_fu": -3.9, "magmom_total_mub_per_fu": 0.00, "vol_a3_per_atom": 29.975, "spacegroup": "P4/mmm (123)", "dos_ef_per_ev_cell": 5.7}


2.
{"formula": "ScSbAu2", "functional": "GGA-PBE", "state": "optimized geometry", "cell": [[-1.508, 1.154, -8.182], [0.882, -1.527, -8.212], [-2.598, -2.230, -7.670]], "species": ["Au", "Au", "Sb", "Sc"], "frac_coords": [[0.006, 0.006, 0.006], [0.494, 0.494, 0.494], [0.250, 0.250, 0.250], [0.750, 0.750, 0.750]], "dft_energy_ev_per_fu": -18.44, "formation_energy_uncorrected_ev_per_fu": -1.4, "magmom_total_mub_per_fu": 0.00, "vol_a3_per_atom": 22.730, "spacegroup": "R-3m (166)", "dos_ef_per_ev_cell": 2.8}


3.
{"formula": "TlReBr", "functional": "GGA-PBE", "state": "optimized geometry", "cell": [[-2.956, -5.534, 5.882], [0.057, -4.977, 6.625], [-2.383, 1.454, 1.464]], "species": ["Re", "Tl", "Br"], "frac_coords": [[0.346, 0.346, 0.654], [0.686, 0.686, 0.314], [0.968, 0.968, 0.032]], "dft_energy_ev_per_fu": -13.75, "formation_energy_uncorrected_ev_per_fu": 2.7, "magmom_total_mub_per_fu": 0.01, "vol_a3_per_atom": 22.856, "spacegroup": "Fmm2 (42)", "dos_ef_per_ev_cell": 3.2}